No. 1
Below is Li3ZnPb after structural relaxation, with properties calculated at the PBE-GGA level.

a b c (Å): 4.771 4.771 4.771
angles (deg): 90.00 90.00 90.00
Sites, in units of the cell vectors:
Pb1 0.500 0.500 0.500
Zn1 0.000 0.000 0.000
Li1 0.000 0.500 0.000
Li2 0.000 0.000 0.500
Li3 0.500 0.000 0.000

Summary:
Space-group type: Pm-3m
Calculated volume: 108.6 Å³/cell
Energy relative to the elements: 0.038 eV/atom
Offset from the most stable computed form: 0.220 eV/atom


No. 2
Below is KLi3Bi3 after structural relaxation, with properties calculated at the PBE-GGA level.

a b c (Å): 7.716 7.716 7.716
angles (deg): 90.00 90.00 90.00
Sites, in units of the cell vectors:
K1 0.500 0.500 0.500
K2 0.000 0.000 0.000
Bi1 0.000 0.250 0.500
Bi2 0.000 0.750 0.500
Bi3 0.500 0.000 0.750
Bi4 0.750 0.500 0.000
Bi5 0.500 0.000 0.250
Bi6 0.250 0.500 0.000
Li1 0.250 0.000 0.500
Li2 0.000 0.500 0.250
Li3 0.500 0.750 0.000
Li4 0.750 0.000 0.500
Li5 0.000 0.500 0.750
Li6 0.500 0.250 0.000

Summary:
Space-group type: Pm-3n
Calculated volume: 459.3 Å³/cell
Energy relative to the elements: -0.020 eV/atom


No. 3
Below is SrTlOs2 after structural relaxation, with properties calculated at the PBE-GGA level.

a b c (Å): 4.845 4.845 4.845
angles (deg): 60.00 60.00 60.00
Sites, in units of the cell vectors:
Sr1 0.000 0.000 0.000
Tl1 0.500 0.500 0.500
Os1 0.250 0.250 0.250
Os2 0.750 0.750 0.750

Summary:
Space-group type: Fm-3m
Calculated volume: 80.4 Å³/cell
Energy relative to the elements: 1.331 eV/atom
Offset from the most stable computed form: 1.048 eV/atom


No. 4
Below is V2HIrOs after structural relaxation, with properties calculated at the PBE-GGA level.

a b c (Å): 3.908 3.908 3.767
angles (deg): 90.00 90.00 90.00
Sites, in units of the cell vectors:
H1 0.000 0.000 0.000
Ir1 0.500 0.500 0.500
Os1 0.000 0.000 0.500
V1 0.000 0.500 0.000
V2 0.500 0.000 0.000

Summary:
Space-group type: P4/mmm
Calculated volume: 57.5 Å³/cell
Offset from the most stable computed form: 0.000 eV/atom


no.,E_tot (eV per atom)
1,-2.11
2,-2.66
3,-5.30
4,-8.57